# CdNiBiPd GGA-PBE relaxed
data_CdNiBiPd
_cell_length_a 6.640
_cell_length_b 6.640
_cell_length_c 6.640
_cell_angle_alpha 90.00
_cell_angle_beta 90.00
_cell_angle_gamma 90.00
_symmetry_space_group_name_H-M 'F -4 3 m'
_symmetry_Int_Tables_number 216
_symmetry_space_group_name_Hall 'F -4 2 3'
loop_
_atom_site_label
_atom_site_type_symbol
_atom_site_fract_x
_atom_site_fract_y
_atom_site_fract_z
_atom_site_occupancy
Cd1 Cd 0.000 0.000 0.000 1
Ni1 Ni 0.250 0.250 0.750 1
Bi1 Bi 0.000 0.000 0.500 1
Pd1 Pd 0.250 0.250 0.250 1
# - final energy (eV/f.u.) = -15.940